Material: BeRhBr4
Method: DFT, PBE
State: relaxed

Lattice parameters (Å, degrees): 6.153 6.153 6.153 60.00 60.00 60.00
Atoms (fractional coordinates):
Be 0.000 0.000 0.000
Rh 0.250 0.250 0.250
Br 0.126 0.625 0.625
Br 0.625 0.126 0.625
Br 0.625 0.625 0.126
Br 0.625 0.625 0.625

## Properties
- V: 27.45 Å³ per atom
- Raw total energy: -0.057 Ha/atom
- ΔE_f (raw): 8.4 eV per formula unit
- M_tot: 2.0 μB/cell